This record from the Alexandria database describes a relaxed structure of MnCdCu3. The functional is PBE-GGA.

Structure (POSCAR):
```
MnCdCu3
1.0
4.569 0.000 0.000
0.000 4.569 0.000
0.000 0.000 4.569
Cu Mn Cd
3 1 1
Direct
0.500 0.000 0.000
0.000 0.000 0.500
0.000 0.500 0.000
0.000 0.000 0.000
0.500 0.500 0.500
```

Results
energy relative to the lowest polymorph listed for this composition: 0 meV per atom
N(E_F): 0.5216 states/eV per atom
final energy: -3.58 eV per atom
symmetry: Pm-3m (221)
energy relative to the elements: 0.8979 eV per atom


This record from the Alexandria database describes a relaxed structure of Ce2ReNiN5. The functional is PBE-GGA.

Structure (POSCAR):
```
Ce2ReNiN5
1.0
3.268 0.000 0.000
-1.634 6.698 0.000
0.000 0.000 9.884
Ni N Ce Re
2 10 4 2
Direct
0.449 0.897 0.448
0.551 0.103 0.948
0.291 0.583 0.652
0.494 0.987 0.773
0.709 0.417 0.152
0.506 0.013 0.273
0.654 0.307 0.509
0.689 0.378 0.873
0.951 0.902 0.552
0.346 0.693 0.009
0.311 0.622 0.373
0.049 0.098 0.052
0.113 0.226 0.687
0.133 0.266 0.315
0.867 0.734 0.815
0.887 0.774 0.187
0.196 0.392 0.017
0.804 0.608 0.517
```

Results
N(E_F): 0.8481 states/eV per atom
final energy: -8.58 eV per atom
symmetry: Cmc2_1 (36)


This record from the Alexandria database describes a relaxed structure of ZrRu2Rh. The functional is PBE-GGA.

Structure (POSCAR):
```
ZrRu2Rh
1.0
-2.362 -4.066 0.345
3.986 -0.575 2.451
-1.345 0.986 2.419
Rh Zr Ru
1 1 2
Direct
0.000 0.500 0.500
0.500 0.000 0.500
0.500 0.500 0.000
0.000 0.000 0.000
```

Results
N(E_F): 0.6998 states/eV per atom
final energy: -8.78 eV per atom
symmetry: Cmmm (65)
energy relative to the elements: -0.1686 eV per atom


This record from the Alexandria database describes a relaxed structure of NdBe3Ir3. The functional is PBE-GGA.

Structure (POSCAR):
```
NdBe3Ir3
1.0
6.095 0.000 0.000
0.000 6.095 0.000
0.000 0.000 6.095
Ir Be Nd
6 6 2
Direct
0.000 0.500 0.750
0.750 0.000 0.500
0.000 0.500 0.250
0.250 0.000 0.500
0.500 0.750 0.000
0.500 0.250 0.000
0.000 0.750 0.500
0.250 0.500 0.000
0.500 0.000 0.750
0.000 0.250 0.500
0.500 0.000 0.250
0.750 0.500 0.000
0.500 0.500 0.500
0.000 0.000 0.000
```

Results
N(E_F): 0.1558 states/eV per atom
final energy: -6.23 eV per atom
symmetry: Pm-3n (223)
energy relative to the elements: -0.1506 eV per atom


This record from the Alexandria database describes a relaxed structure of CsGa2H8. The functional is PBE-GGA.

Structure (POSCAR):
```
CsGa2H8
1.0
6.290 0.000 0.000
-3.145 5.146 -1.482
0.000 0.337 5.492
H Ga Cs
8 2 1
Direct
0.570 0.139 0.321
0.923 0.478 0.069
0.445 0.522 0.931
0.555 0.478 0.069
0.823 0.645 0.521
0.177 0.355 0.479
0.077 0.522 0.931
0.430 0.861 0.679
0.711 0.422 0.279
0.289 0.578 0.721
0.000 0.000 0.000
```

Results
N(E_F): 0.2550 states/eV per atom
final energy: -2.95 eV per atom
symmetry: C2/m (12)


This record from the Alexandria database describes a relaxed structure of CaIn2POs. The functional is PBE-GGA.

Structure (POSCAR):
```
CaIn2POs
1.0
5.280 0.000 0.000
0.000 4.409 0.000
0.000 0.000 5.280
P In Os Ca
1 2 1 1
Direct
0.000 0.000 0.000
0.500 0.000 0.000
0.000 0.000 0.500
0.000 0.500 0.000
0.500 0.500 0.500
```

Results
energy relative to the lowest polymorph listed for this composition: 0 meV per atom
N(E_F): 0.8732 states/eV per atom
final energy: -4.50 eV per atom
symmetry: P4/mmm (123)
energy relative to the elements: 0.3239 eV per atom


This record from the Alexandria database describes a relaxed structure of LaAlO3. The functional is PBE-GGA.

Structure (POSCAR):
```
LaAlO3
1.0
7.138 -0.006 0.000
-3.586 6.172 0.000
0.000 0.000 10.240
La O Al
6 18 6
Direct
0.500 0.500 0.000
0.172 0.828 0.000
0.828 0.172 0.000
0.500 0.500 0.500
0.172 0.828 0.500
0.828 0.172 0.500
0.521 0.166 0.593
0.166 0.521 0.593
0.479 0.834 0.407
0.594 0.594 0.250
0.075 0.836 0.250
0.406 0.406 0.750
0.166 0.521 0.907
0.190 0.190 0.409
0.834 0.479 0.093
0.521 0.166 0.907
0.925 0.164 0.750
0.190 0.190 0.091
0.479 0.834 0.093
0.836 0.075 0.250
0.810 0.810 0.909
0.810 0.810 0.591
0.164 0.925 0.750
0.834 0.479 0.407
0.095 0.095 0.250
0.166 0.424 0.750
0.905 0.905 0.750
0.834 0.576 0.250
0.424 0.166 0.750
0.576 0.834 0.250
```

Results
N(E_F): 0.0000 states/eV per atom
final energy: -8.01 eV per atom
symmetry: Cmcm (63)


This record from the Alexandria database describes a relaxed structure of YCr2Mo. The functional is PBE-GGA.

Structure (POSCAR):
```
YCr2Mo
1.0
5.072 -0.115 0.000
1.592 4.817 0.000
-3.332 -2.351 3.018
Mo Cr Y
1 2 1
Direct
0.500 0.500 0.000
0.250 0.750 0.500
0.000 0.000 0.000
0.750 0.250 0.500
```

Results
energy relative to the lowest polymorph listed for this composition: 358 meV per atom
N(E_F): 0.7853 states/eV per atom
final energy: -8.42 eV per atom
symmetry: I-4m2 (119)
energy relative to the elements: 0.7126 eV per atom


This record from the Alexandria database describes a relaxed structure of TiTcN. The functional is PBE-GGA.

Structure (POSCAR):
```
TiTcN
1.0
3.277 0.017 0.000
-0.017 3.277 0.000
0.000 0.000 7.242
Ti Tc N
2 2 2
Direct
0.003 0.503 0.144
0.503 0.003 0.856
0.503 0.503 0.500
0.003 0.003 0.500
0.503 0.003 0.122
0.003 0.503 0.878
```

Results
N(E_F): 0.6452 states/eV per atom
final energy: -9.08 eV per atom
symmetry: P4/nmm (129)


This record from the Alexandria database describes a relaxed structure of CeZr2W. The functional is PBE-GGA.

Structure (POSCAR):
```
CeZr2W
1.0
3.185 0.000 0.000
1.593 2.759 0.000
1.593 0.920 10.337
Zr Ce W
2 1 1
Direct
0.901 0.901 0.296
0.099 0.099 0.704
0.000 0.000 0.000
0.500 0.500 0.500
```

Results
N(E_F): 1.5558 states/eV per atom
final energy: -8.64 eV per atom
symmetry: R-3m (166)
energy relative to the elements: 0.3529 eV per atom


This record from the Alexandria database describes a relaxed structure of Ti3CuOs2. The functional is PBE-GGA.

Structure (POSCAR):
```
Ti3CuOs2
1.0
-2.822 0.749 1.012
0.084 -2.366 1.986
3.774 5.529 6.429
Os Ti Cu
2 3 1
Direct
0.500 0.500 0.169
0.500 0.500 0.831
0.000 0.000 0.668
0.000 0.000 0.332
0.000 0.000 0.000
0.500 0.500 0.500
```

Results
N(E_F): 0.7539 states/eV per atom
final energy: -8.87 eV per atom
symmetry: P4/mmm (123)
energy relative to the elements: -0.4921 eV per atom


This record from the Alexandria database describes a relaxed structure of Np3Tl3InS8. The functional is PBE-GGA.

Structure (POSCAR):
```
Np3Tl3InS8
1.0
8.029 0.000 0.000
-4.014 6.953 -0.027
0.000 -4.606 7.547
S Tl Np In
8 3 3 1
Direct
0.269 0.538 0.307
0.229 0.459 0.692
0.771 0.038 0.308
0.731 0.462 0.693
0.229 0.962 0.692
0.267 0.038 0.308
0.771 0.541 0.308
0.733 0.962 0.692
0.500 0.500 0.000
0.000 0.500 0.000
0.000 0.000 0.000
0.500 0.500 0.500
0.000 0.500 0.500
0.500 0.000 0.500
0.000 0.000 0.500
```

Results
N(E_F): 1.9300 states/eV per atom
final energy: -6.37 eV per atom
symmetry: R-3m (166)